#one
TcGeSe3 | Alexandria via LeMat-Bulk | PBE-GGA | optimized geometry; space-group type = Pm-3m, No. 221
1.0
4.898 0.000 0.000
0.000 4.898 0.000
0.000 0.000 4.898
Tc Se Ge
1 3 1
Cartesian
0.000 0.000 0.000
0.000 0.000 2.449
2.449 0.000 0.000
0.000 2.449 0.000
2.449 2.449 2.449

#two
TcGeSe3 | Alexandria via LeMat-Bulk | PBE-GGA | optimized geometry; space-group type = Pm-3m, No. 221
1.0
4.979 0.000 0.000
0.000 4.979 0.000
0.000 0.000 4.979
Se Ge Tc
3 1 1
Cartesian
0.000 0.000 2.489
0.000 2.489 0.000
2.489 0.000 0.000
0.000 0.000 0.000
2.489 2.489 2.489

Most stable = #one

#one
GeTeSe2 | Alexandria via LeMat-Bulk | PBE-GGA | optimized geometry; space-group type = I-42d, No. 122
1.0
7.450 0.000 0.000
0.000 7.450 0.000
3.725 3.725 3.806
Se Te Ge
4 2 2
Cartesian
2.042 5.587 0.952
5.408 1.862 0.952
9.312 9.133 2.855
5.587 5.767 2.855
0.000 0.000 0.000
7.450 3.725 1.903
3.725 3.725 0.000
3.725 7.450 1.903

#two
GeTeSe2 | Alexandria via LeMat-Bulk | PBE-GGA | optimized geometry; space-group type = R-3m, No. 166
1.0
2.155 0.000 9.107
-1.078 1.866 9.107
-1.078 -1.866 9.107
Ge Se Te
1 2 1
Cartesian
0.000 0.000 0.000
0.000 0.000 2.607
0.000 0.000 24.714
0.000 0.000 13.661

Most stable = #one